Here is Ac2AsO after structural relaxation from Alexandria. Energies are from PBE.

POSCAR file:
```
Ac2AsO
1.0
0.0000 3.6384 3.6384
3.6384 0.0000 3.6384
3.6384 3.6384 0.0000
Ac As O
2 1 1
Direct
0.2500 0.2500 0.2500 Ac
0.7500 0.7500 0.7500 Ac
0.0000 0.0000 0.0000 As
0.5000 0.5000 0.5000 O
```

Properties
excess energy over the best structure of this formula in the dataset	0.509	eV/atom
raw formation energy	-550	kJ/mol of formula units
total magnetic moment	0.000	μB/f.u.
energy	-23.5	eV/f.u.